# Ir2Os2Ru2Rh

Ir2Os2Ru2Rh after structural relaxation (PBE, the Alexandria database).

E_form ... 476 meV per atom
Total magnetic moment ... 2.51 μB per formula unit
Total energy ... -8.96 eV per atom

a b c (Å): 4.6917 4.6593 9.7535
angles (deg): 90.00 103.74 90.00
With the nearest neighbours (Å) after each atom.
Element x y z (fractional)
Ir 0.1309 0.0000 0.2810  4 Os 2.62-2.73, 1 Rh 2.66, 5 Ru 2.67-2.83
Ir 0.3691 0.5000 0.7190  4 Os 2.62-2.73, 1 Rh 2.66, 5 Ru 2.67-2.83
Ir 0.6309 0.5000 0.2810  4 Os 2.62-2.73, 1 Rh 2.66, 5 Ru 2.67-2.83
Ir 0.8691 0.0000 0.7190  4 Os 2.62-2.73, 1 Rh 2.66, 5 Ru 2.67-2.83
Os 0.0766 0.5000 0.1456  4 Ir 2.62-2.73, 4 Rh 2.70-2.74, 1 Ru 2.71, 1 Os 2.76
Os 0.4234 0.0000 0.8544  4 Ir 2.62-2.73, 4 Rh 2.70-2.74, 1 Ru 2.71, 1 Os 2.76
Os 0.5766 0.0000 0.1456  4 Ir 2.62-2.73, 4 Rh 2.70-2.74, 1 Ru 2.71, 1 Os 2.76
Os 0.9234 0.5000 0.8544  4 Ir 2.62-2.73, 4 Rh 2.70-2.74, 1 Ru 2.71, 1 Os 2.76
Ru 0.2248 0.5000 0.4321  4 Ru 2.61-2.74, 5 Ir 2.67-2.83, 1 Os 2.71
Ru 0.2752 0.0000 0.5679  4 Ru 2.61-2.74, 5 Ir 2.67-2.83, 1 Os 2.71
Ru 0.7248 0.0000 0.4321  4 Ru 2.61-2.74, 5 Ir 2.67-2.83, 1 Os 2.71
Ru 0.7752 0.5000 0.5679  4 Ru 2.61-2.74, 5 Ir 2.67-2.83, 1 Os 2.71
Rh 0.0000 0.0000 0.0000  2 Ir 2.66, 8 Os 2.70-2.74
Rh 0.5000 0.5000 0.0000  2 Ir 2.66, 8 Os 2.70-2.74